No. 1
VASP calculation (PBE) on an optimized crystal structure of MnFeTc.

Results
- ΔE to the lowest computed polymorph (meV/atom) = 85
- magnetization (μB per formula unit) = 0.00
- raw total energy (eV per atom) = -9.2398
- formation enthalpy at 0 K (eV/atom) = 0.09

Structure (CIF):
```
data_MnFeTc
_cell_length_a 3.9944
_cell_length_b 3.9944
_cell_length_c 2.5978
_cell_angle_alpha 90.00
_cell_angle_beta 90.00
_cell_angle_gamma 120.00
_symmetry_space_group_name_H-M 'P -6 m 2'
_symmetry_Int_Tables_number 187
_symmetry_space_group_name_Hall 'P -6 2'
loop_
_atom_site_label
_atom_site_type_symbol
_atom_site_fract_x
_atom_site_fract_y
_atom_site_fract_z
Mn1 Mn 0.0000 0.0000 0.0000
Fe1 Fe 0.3333 0.6667 0.0000
Tc1 Tc 0.6667 0.3333 0.5000
```

No. 2
VASP calculation (PBE) on an optimized crystal structure of MnFe2Tc.

Results
- ΔE to the lowest computed polymorph (meV/atom) = 24
- magnetization (μB per formula unit) = 6.11
- raw total energy (eV per atom) = -9.0311
- formation enthalpy at 0 K (eV/atom) = 0.08

Structure (CIF):
```
data_MnFe2Tc
_cell_length_a 5.8199
_cell_length_b 5.8199
_cell_length_c 5.8199
_cell_angle_alpha 90.00
_cell_angle_beta 90.00
_cell_angle_gamma 90.00
_symmetry_space_group_name_H-M 'F -4 3 m'
_symmetry_Int_Tables_number 216
_symmetry_space_group_name_Hall 'F -4 2 3'
loop_
_atom_site_label
_atom_site_type_symbol
_atom_site_fract_x
_atom_site_fract_y
_atom_site_fract_z
Mn1 Mn 0.0000 0.0000 0.0000
Fe1 Fe 0.0000 0.0000 0.5000
Fe2 Fe 0.2500 0.2500 0.7500
Tc1 Tc 0.2500 0.2500 0.2500
```

No. 3
VASP calculation (PBE) on an optimized crystal structure of MnFe2Tc.

Results
- ΔE to the lowest computed polymorph (meV/atom) = 0
- magnetization (μB per formula unit) = 6.33
- raw total energy (eV per atom) = -9.0548
- formation enthalpy at 0 K (eV/atom) = 0.06

Structure (CIF):
```
data_MnFe2Tc
_cell_length_a 2.8958
_cell_length_b 2.8958
_cell_length_c 5.8859
_cell_angle_alpha 90.00
_cell_angle_beta 90.00
_cell_angle_gamma 90.00
_symmetry_space_group_name_H-M 'P 4 m m'
_symmetry_Int_Tables_number 99
loop_
_symmetry_equiv_pos_as_xyz
'x,y,z'
'-y,x,z'
'-x,-y,z'
'y,-x,z'
'-x,y,z'
'y,x,z'
'x,-y,z'
'-y,-x,z'
loop_
_atom_site_label
_atom_site_type_symbol
_atom_site_fract_x
_atom_site_fract_y
_atom_site_fract_z
Mn1 Mn 0.0000 0.0000 0.0000
Fe1 Fe 0.0000 0.0000 0.5247
Fe2 Fe 0.5000 0.5000 0.7571
Tc1 Tc 0.5000 0.5000 0.2583
```

No. 4
VASP calculation (PBE) on an optimized crystal structure of MnFeTc2.

Results
- ΔE to the lowest computed polymorph (meV/atom) = 19
- magnetization (μB per formula unit) = 0.02
- raw total energy (eV per atom) = -9.5206
- formation enthalpy at 0 K (eV/atom) = 0.07

Structure (CIF):
```
data_MnFeTc2
_cell_length_a 2.6466
_cell_length_b 4.0159
_cell_length_c 4.9310
_cell_angle_alpha 90.00
_cell_angle_beta 105.37
_cell_angle_gamma 90.00
_symmetry_space_group_name_H-M 'P 1 m 1'
_symmetry_Int_Tables_number 6
loop_
_symmetry_equiv_pos_as_xyz
'x,y,z'
'x,-y,z'
loop_
_atom_site_label
_atom_site_type_symbol
_atom_site_fract_x
_atom_site_fract_y
_atom_site_fract_z
Mn1 Mn 0.0000 0.0000 0.0000
Fe1 Fe 0.8844 0.5000 0.7662
Tc1 Tc 0.2730 0.0000 0.5404
Tc2 Tc 0.6131 0.5000 0.2266
```

No. 5
VASP calculation (PBE) on an optimized crystal structure of MnFe2Tc.

Results
- ΔE to the lowest computed polymorph (meV/atom) = 19
- magnetization (μB per formula unit) = 5.98
- raw total energy (eV per atom) = -9.0355
- formation enthalpy at 0 K (eV/atom) = 0.08

Structure (CIF):
```
data_MnFe2Tc
_cell_length_a 2.9364
_cell_length_b 4.0420
_cell_length_c 8.3043
_cell_angle_alpha 90.00
_cell_angle_beta 90.00
_cell_angle_gamma 90.00
_symmetry_space_group_name_H-M 'I m m m'
_symmetry_Int_Tables_number 71
_symmetry_space_group_name_Hall '-I 2 2'
loop_
_atom_site_label
_atom_site_type_symbol
_atom_site_fract_x
_atom_site_fract_y
_atom_site_fract_z
Mn1 Mn 0.0000 0.0000 0.0000
Fe1 Fe 0.0000 0.5000 0.2529
Tc1 Tc 0.0000 0.0000 0.5000
```

No. 6
VASP calculation (PBE) on an optimized crystal structure of MnFe2Tc.

Results
- ΔE to the lowest computed polymorph (meV/atom) = 544
- magnetization (μB per formula unit) = 5.74
- raw total energy (eV per atom) = -8.5111
- formation enthalpy at 0 K (eV/atom) = 0.60

Structure (CIF):
```
data_MnFe2Tc
_cell_length_a 3.4291
_cell_length_b 3.4291
_cell_length_c 17.9884
_cell_angle_alpha 90.00
_cell_angle_beta 90.00
_cell_angle_gamma 90.00
_symmetry_space_group_name_H-M 'I -4 2 d'
_symmetry_Int_Tables_number 122
_symmetry_space_group_name_Hall 'I -4 2bw'
loop_
_atom_site_label
_atom_site_type_symbol
_atom_site_fract_x
_atom_site_fract_y
_atom_site_fract_z
Mn1 Mn 0.0000 0.0000 0.0000
Fe1 Fe 0.2374 0.2500 0.1250
Tc1 Tc 0.0000 0.0000 0.5000
```